# NbRe3Au | the Alexandria database | PBE | optimized geometry
data_NbRe3Au
_chemical_formula_sum 'Nb1 Re3 Au1'
_cell_length_a 4.7360
_cell_length_b 4.7360
_cell_length_c 4.7360
_cell_angle_alpha 90.00
_cell_angle_beta 90.00
_cell_angle_gamma 90.00
_space_group_name_H-M_alt 'P 1'
_space_group_IT_number 1
loop_
_space_group_symop_operation_xyz
'x,y,z'
loop_
_atom_site_label
_atom_site_type_symbol
_atom_site_fract_x
_atom_site_fract_y
_atom_site_fract_z
_atom_site_occupancy
Re1 Re 0.0000 0.0000 0.5000 1
Au1 Au 0.5000 0.5000 0.5000 1
Nb1 Nb 0.0000 0.0000 0.0000 1
Re2 Re 0.5000 0.0000 0.0000 1
Re3 Re 0.0000 0.5000 0.0000 1
# Offset from the most stable computed form: 0.000 eV per atom
# V: 106 Å³ per cell

# Nb2ReRuAu | the Alexandria database | PBE | optimized geometry
data_Nb2ReRuAu
_chemical_formula_sum 'Nb2 Re1 Ru1 Au1'
_cell_length_a 4.7710
_cell_length_b 4.6384
_cell_length_c 4.7710
_cell_angle_alpha 90.00
_cell_angle_beta 90.00
_cell_angle_gamma 90.00
_space_group_name_H-M_alt 'P 1'
_space_group_IT_number 1
loop_
_space_group_symop_operation_xyz
'x,y,z'
loop_
_atom_site_label
_atom_site_type_symbol
_atom_site_fract_x
_atom_site_fract_y
_atom_site_fract_z
_atom_site_occupancy
Re1 Re 0.0000 0.5000 0.0000 1
Ru1 Ru 0.0000 0.0000 0.0000 1
Nb1 Nb 0.5000 0.0000 0.0000 1
Nb2 Nb 0.0000 0.0000 0.5000 1
Au1 Au 0.5000 0.5000 0.5000 1
# V: 106 Å³ per cell
# Final energy: -7.768 eV per atom

# NbReSnAu2 | the Alexandria database | PBE | optimized geometry
data_NbReSnAu2
_chemical_formula_sum 'Nb1 Re1 Sn1 Au2'
_cell_length_a 5.0593
_cell_length_b 5.3387
_cell_length_c 5.0593
_cell_angle_alpha 90.00
_cell_angle_beta 90.00
_cell_angle_gamma 90.00
_space_group_name_H-M_alt 'P 1'
_space_group_IT_number 1
loop_
_space_group_symop_operation_xyz
'x,y,z'
loop_
_atom_site_label
_atom_site_type_symbol
_atom_site_fract_x
_atom_site_fract_y
_atom_site_fract_z
_atom_site_occupancy
Sn1 Sn 0.0000 0.5000 0.0000 1
Re1 Re 0.5000 0.5000 0.5000 1
Nb1 Nb 0.0000 0.0000 0.0000 1
Au1 Au 0.0000 0.0000 0.5000 1
Au2 Au 0.5000 0.0000 0.0000 1
# V: 137 Å³ per cell
# Final energy: -4.823 eV per atom

# NbReTe2Au | the Alexandria database | PBE | optimized geometry
data_NbReTe2Au
_chemical_formula_sum 'Nb1 Re1 Te2 Au1'
_cell_length_a 5.1066
_cell_length_b 5.0607
_cell_length_c 5.1066
_cell_angle_alpha 90.00
_cell_angle_beta 90.00
_cell_angle_gamma 90.00
_space_group_name_H-M_alt 'P 1'
_space_group_IT_number 1
loop_
_space_group_symop_operation_xyz
'x,y,z'
loop_
_atom_site_label
_atom_site_type_symbol
_atom_site_fract_x
_atom_site_fract_y
_atom_site_fract_z
_atom_site_occupancy
Nb1 Nb 0.5000 0.5000 0.5000 1
Re1 Re 0.0000 0.0000 0.0000 1
Te1 Te 0.5000 0.0000 0.0000 1
Te2 Te 0.0000 0.0000 0.5000 1
Au1 Au 0.0000 0.5000 0.0000 1
# V: 132 Å³ per cell
# Formation energy from raw total energies: 1.3731 eV per atom

# NbZnReAu2 | the Alexandria database | PBE | optimized geometry
data_NbZnReAu2
_chemical_formula_sum 'Nb1 Zn1 Re1 Au2'
_cell_length_a 5.1783
_cell_length_b 4.7380
_cell_length_c 5.1783
_cell_angle_alpha 90.00
_cell_angle_beta 90.00
_cell_angle_gamma 90.00
_space_group_name_H-M_alt 'P 1'
_space_group_IT_number 1
loop_
_space_group_symop_operation_xyz
'x,y,z'
loop_
_atom_site_label
_atom_site_type_symbol
_atom_site_fract_x
_atom_site_fract_y
_atom_site_fract_z
_atom_site_occupancy
Au1 Au 0.0000 0.0000 0.5000 1
Zn1 Zn 0.5000 0.5000 0.5000 1
Nb1 Nb 0.0000 0.0000 0.0000 1
Au2 Au 0.5000 0.0000 0.0000 1
Re1 Re 0.0000 0.5000 0.0000 1
# V: 127 Å³ per cell
# Final energy: -4.546 eV per atom

# NbRhAu2 | the Alexandria database | PBE | optimized geometry
data_NbRhAu2
_chemical_formula_sum 'Nb2 Rh2 Au4'
_cell_length_a 7.4638
_cell_length_b 7.4638
_cell_length_c 5.9103
_cell_angle_alpha 50.84
_cell_angle_beta 50.84
_cell_angle_gamma 90.00
_space_group_name_H-M_alt 'P 1'
_space_group_IT_number 1
loop_
_space_group_symop_operation_xyz
'x,y,z'
loop_
_atom_site_label
_atom_site_type_symbol
_atom_site_fract_x
_atom_site_fract_y
_atom_site_fract_z
_atom_site_occupancy
Nb1 Nb 0.2500 0.7500 0.5000 1
Au1 Au 0.3750 0.3729 0.7500 1
Nb2 Nb 0.5000 0.5000 0.0000 1
Au2 Au 0.6271 0.1250 0.2500 1
Rh1 Rh 0.0000 0.0000 0.0000 1
Au3 Au 0.1229 0.6250 0.2500 1
Au4 Au 0.8750 0.8771 0.7500 1
Rh2 Rh 0.7500 0.2500 0.5000 1
# V: 148 Å³ per cell
# Final energy: -5.630 eV per atom

# Nb3RhAu | the Alexandria database | PBE | optimized geometry
data_Nb3RhAu
_chemical_formula_sum 'Nb3 Rh1 Au1'
_cell_length_a 4.9014
_cell_length_b 4.9014
_cell_length_c 4.9014
_cell_angle_alpha 90.00
_cell_angle_beta 90.00
_cell_angle_gamma 90.00
_space_group_name_H-M_alt 'P 1'
_space_group_IT_number 1
loop_
_space_group_symop_operation_xyz
'x,y,z'
loop_
_atom_site_label
_atom_site_type_symbol
_atom_site_fract_x
_atom_site_fract_y
_atom_site_fract_z
_atom_site_occupancy
Rh1 Rh 0.5000 0.5000 0.5000 1
Nb1 Nb 0.5000 0.0000 0.0000 1
Au1 Au 0.0000 0.0000 0.0000 1
Nb2 Nb 0.0000 0.5000 0.0000 1
Nb3 Nb 0.0000 0.0000 0.5000 1
# Offset from the most stable computed form: 0.788 eV per atom
# V: 118 Å³ per cell

# NbRhAu3 | the Alexandria database | PBE | optimized geometry
data_NbRhAu3
_chemical_formula_sum 'Nb1 Rh1 Au3'
_cell_length_a 4.9405
_cell_length_b 4.9405
_cell_length_c 4.9405
_cell_angle_alpha 90.00
_cell_angle_beta 90.00
_cell_angle_gamma 90.00
_space_group_name_H-M_alt 'P 1'
_space_group_IT_number 1
loop_
_space_group_symop_operation_xyz
'x,y,z'
loop_
_atom_site_label
_atom_site_type_symbol
_atom_site_fract_x
_atom_site_fract_y
_atom_site_fract_z
_atom_site_occupancy
Au1 Au 0.0000 0.5000 0.0000 1
Nb1 Nb 0.5000 0.5000 0.5000 1
Rh1 Rh 0.0000 0.0000 0.0000 1
Au2 Au 0.5000 0.0000 0.0000 1
Au3 Au 0.0000 0.0000 0.5000 1
# Offset from the most stable computed form: 0.000 eV per atom
# V: 121 Å³ per cell

# Nb3Rh3Au | the Alexandria database | PBE | optimized geometry
data_Nb3Rh3Au
_chemical_formula_sum 'Nb12 Rh12 Au4'
_cell_length_a 7.8232
_cell_length_b 7.8232
_cell_length_c 7.8232
_cell_angle_alpha 90.00
_cell_angle_beta 90.00
_cell_angle_gamma 90.00
_space_group_name_H-M_alt 'P 1'
_space_group_IT_number 1
loop_
_space_group_symop_operation_xyz
'x,y,z'
loop_
_atom_site_label
_atom_site_type_symbol
_atom_site_fract_x
_atom_site_fract_y
_atom_site_fract_z
_atom_site_occupancy
Rh1 Rh 0.0181 0.1895 0.9016 1
Au1 Au 0.4387 0.4387 0.4387 1
Nb1 Nb 0.2822 0.7822 0.7178 1
Rh2 Rh 0.5984 0.9819 0.6895 1
Rh3 Rh 0.9016 0.0181 0.1895 1
Nb2 Nb 0.2178 0.2178 0.2178 1
Nb3 Nb 0.6481 0.6481 0.6481 1
Rh4 Rh 0.4016 0.4819 0.8105 1
Rh5 Rh 0.8105 0.4016 0.4819 1
Nb4 Nb 0.1481 0.8519 0.3519 1
Nb5 Nb 0.6220 0.1220 0.3780 1
Rh6 Rh 0.3105 0.0984 0.5181 1
Rh7 Rh 0.0984 0.5181 0.3105 1
Nb6 Nb 0.3780 0.6220 0.1220 1
Nb7 Nb 0.7178 0.2822 0.7822 1
Nb8 Nb 0.8519 0.3519 0.1481 1
Rh8 Rh 0.4819 0.8105 0.4016 1
Rh9 Rh 0.5181 0.3105 0.0984 1
Rh10 Rh 0.6895 0.5984 0.9819 1
Au2 Au 0.0613 0.5613 0.9387 1
Au3 Au 0.9387 0.0613 0.5613 1
Rh11 Rh 0.9819 0.6895 0.5984 1
Nb9 Nb 0.1220 0.3780 0.6220 1
Nb10 Nb 0.3519 0.1481 0.8519 1
Rh12 Rh 0.1895 0.9016 0.0181 1
Nb11 Nb 0.7822 0.7178 0.2822 1
Nb12 Nb 0.8780 0.8780 0.8780 1
Au4 Au 0.5613 0.9387 0.0613 1
# Offset from the most stable computed form: 0.035 eV per atom
# V: 479 Å³ per cell

# Nb2Rh2Au | the Alexandria database | PBE | optimized geometry
data_Nb2Rh2Au
_chemical_formula_sum 'Nb2 Rh2 Au1'
_cell_length_a 4.1854
_cell_length_b 4.1853
_cell_length_c 5.7335
_cell_angle_alpha 97.77
_cell_angle_beta 97.77
_cell_angle_gamma 104.10
_space_group_name_H-M_alt 'P 1'
_space_group_IT_number 1
loop_
_space_group_symop_operation_xyz
'x,y,z'
loop_
_atom_site_label
_atom_site_type_symbol
_atom_site_fract_x
_atom_site_fract_y
_atom_site_fract_z
_atom_site_occupancy
Nb1 Nb 0.4285 0.4285 0.7459 1
Rh1 Rh 0.1978 0.8022 0.5000 1
Rh2 Rh 0.8022 0.1978 0.5000 1
Nb2 Nb 0.5715 0.5715 0.2541 1
Au1 Au 0.0000 0.0000 0.0000 1
# Offset from the most stable computed form: 0.424 eV per atom
# V: 95 Å³ per cell

# Nb2Rh3Au | the Alexandria database | PBE | optimized geometry
data_Nb2Rh3Au
_chemical_formula_sum 'Nb4 Rh6 Au2'
_cell_length_a 5.7345
_cell_length_b 7.2000
_cell_length_c 7.2000
_cell_angle_alpha 138.21
_cell_angle_beta 90.00
_cell_angle_gamma 90.00
_space_group_name_H-M_alt 'P 1'
_space_group_IT_number 1
loop_
_space_group_symop_operation_xyz
'x,y,z'
loop_
_atom_site_label
_atom_site_type_symbol
_atom_site_fract_x
_atom_site_fract_y
_atom_site_fract_z
_atom_site_occupancy
Nb1 Nb 0.2613 0.3484 0.6515 1
Nb2 Nb 0.2613 0.6515 0.3484 1
Nb3 Nb 0.7613 0.3485 0.6516 1
Nb4 Nb 0.7613 0.6516 0.3485 1
Rh1 Rh 0.0113 0.1766 0.8082 1
Au1 Au 0.5113 0.7707 0.7707 1
Rh2 Rh 0.0113 0.7390 0.7390 1
Rh3 Rh 0.5113 0.1918 0.8234 1
Au2 Au 0.0113 0.2293 0.2293 1
Rh4 Rh 0.5113 0.2610 0.2610 1
Rh5 Rh 0.5113 0.8234 0.1918 1
Rh6 Rh 0.0113 0.8082 0.1766 1
# V: 198 Å³ per cell
# Final energy: -7.792 eV per atom

# Nb2Rh2Au | the Alexandria database | PBE | optimized geometry
data_Nb2Rh2Au
_chemical_formula_sum 'Nb4 Rh4 Au2'
_cell_length_a 7.5688
_cell_length_b 7.5688
_cell_length_c 2.9552
_cell_angle_alpha 90.00
_cell_angle_beta 90.00
_cell_angle_gamma 90.00
_space_group_name_H-M_alt 'P 1'
_space_group_IT_number 1
loop_
_space_group_symop_operation_xyz
'x,y,z'
loop_
_atom_site_label
_atom_site_type_symbol
_atom_site_fract_x
_atom_site_fract_y
_atom_site_fract_z
_atom_site_occupancy
Rh1 Rh 0.8696 0.6304 0.0000 1
Rh2 Rh 0.3696 0.8696 0.0000 1
Au1 Au 0.0000 0.0000 0.0000 1
Nb1 Nb 0.6673 0.8327 0.5000 1
Nb2 Nb 0.1673 0.6673 0.5000 1
Nb3 Nb 0.8327 0.3327 0.5000 1
Rh3 Rh 0.6304 0.1304 0.0000 1
Rh4 Rh 0.1304 0.3696 0.0000 1
Nb4 Nb 0.3327 0.1673 0.5000 1
Au2 Au 0.5000 0.5000 0.0000 1
# Offset from the most stable computed form: 0.000 eV per atom
# V: 169 Å³ per cell